(1)
Below is an optimized crystal structure of KAcTl2, with properties calculated at the GGA-PBE level.

The structure in POSCAR format:
```
KAcTl2
1.0
-2.762 1.736 2.519
1.673 -1.985 3.202
5.494 6.794 1.341
K Ac Tl
1 1 2
direct
0.500 0.500 0.500
0.500 0.500 0.000
0.000 0.000 0.777
0.000 0.000 0.223
```

Summary:
density of states at the Fermi level = 2.95 states/eV per cell
ΔH_f (0 K) = -0.9 eV per formula unit
space group = P4/mmm (123)
density = 7.5 g cm⁻³

(2)
Below is an optimized crystal structure of KAc2Tl9, with properties calculated at the GGA-PBE level.

The structure in POSCAR format:
```
KAc2Tl9
1.0
-4.322 2.479 0.671
-1.285 -3.225 3.637
6.660 8.849 10.201
K Ac Tl
1 2 9
direct
0.000 0.000 0.000
0.000 0.000 0.335
0.000 0.000 0.665
0.500 0.500 0.000
0.500 0.500 0.333
0.500 0.500 0.667
0.500 0.000 0.169
0.500 0.000 0.500
0.500 0.000 0.831
0.000 0.500 0.169
0.000 0.500 0.500
0.000 0.500 0.831
```

Summary:
density of states at the Fermi level = 6.91 states/eV per cell
ΔH_f (0 K) = -2.4 eV per formula unit
space group = P4/mmm (123)
density = 10.2 g cm⁻³

(3)
Below is an optimized crystal structure of KAc2Tl3, with properties calculated at the GGA-PBE level.

The structure in POSCAR format:
```
KAc2Tl3
1.0
4.145 0.000 0.000
0.000 4.145 0.000
0.000 0.000 12.862
K Ac Tl
1 2 3
direct
0.500 0.500 0.500
0.500 0.500 0.839
0.500 0.500 0.161
0.000 0.000 0.000
0.000 0.000 0.689
0.000 0.000 0.311
```

Summary:
density of states at the Fermi level = 4.75 states/eV per cell
ΔH_f (0 K) = -1.5 eV per formula unit
space group = P4/mmm (123)
density = 8.3 g cm⁻³